A relaxed structure of NaAlTe2. Source: the Alexandria database, functional PBE.

ΔE_f (raw) = -0.399 eV per atom
N(E_F) = 0.64 states/eV/f.u.
Magnetization = 0.00 μB per formula unit
Volume = 30.5 Å³/atom

Lattice parameters (Å, degrees): 6.996 3.713 18.793 90.00 90.00 90.00
Sites, in units of the cell vectors:
Te: 0.378 0.250 0.715
Na: 0.753 0.750 0.443
Al: 0.305 0.250 0.313
Na: 0.253 0.750 0.057
Al: 0.805 0.250 0.187
Te: 0.122 0.750 0.215
Te: 0.787 0.250 0.581
Al: 0.195 0.750 0.813
Na: 0.247 0.250 0.557
Te: 0.287 0.250 0.919
Te: 0.878 0.250 0.785
Na: 0.747 0.250 0.943
Al: 0.695 0.750 0.687
Te: 0.713 0.750 0.081
Te: 0.213 0.750 0.419
Te: 0.622 0.750 0.285